1.
The following is a PBE-GGA calculation of crystalline CsHRuSe at its relaxed geometry, from the Alexandria database.

The volume comes out at 22.92 A^3/atom. The spin magnetization comes out at 0.00 μB per formula unit. For the calculated total energy, the calculation gives -34.1 eV for the cell shown.

The structure belongs to space group Amm2 (No. 38); the cell edges are 3.473, 4.245 and 12.437 Å and the angles 90.00°, 90.00° and 90.00°. The distinct sites, in fractional coordinates, are Cs at (0.000, 0.000, 0.000), H at (0.000, 0.000, 0.324), Ru at (0.500, 0.000, 0.282) and Se at (0.500, 0.000, 0.700).

=====

2.
The following is a PBE-GGA calculation of crystalline Ac4In2Ga at its relaxed geometry, from the Alexandria database.

The volume comes out at 41.53 A^3/atom. The spin magnetization comes out at 0.00 μB per formula unit. For the calculated total energy, the calculation gives -51.5 eV for the cell shown.

The structure belongs to space group I4/mmm (No. 139); the cell edges are 5.900, 5.900 and 16.707 Å and the angles 90.00°, 90.00° and 90.00°. The distinct sites, in fractional coordinates, are Ac at (0.000, 0.000, 0.188), Ac at (0.000, 0.500, 0.000), In at (0.000, 0.000, 0.384) and Ga at (0.000, 0.000, 0.000).

=====

3.
The following is a PBE-GGA calculation of crystalline YVCu3 at its relaxed geometry, from the Alexandria database.

The volume comes out at 19.19 A^3/atom. The spin magnetization comes out at 2.41 μB per formula unit. For the calculated total energy, the calculation gives -25.1 eV for the cell shown.

The structure belongs to space group Pm-3m (No. 221); the cell edges are 4.578, 4.578 and 4.578 Å and the angles 90.00°, 90.00° and 90.00°. The distinct sites, in fractional coordinates, are Y at (0.000, 0.000, 0.000), V at (0.500, 0.500, 0.500) and Cu at (0.000, 0.500, 0.500).

=====

4.
The following is a PBE-GGA calculation of crystalline Dy12Y2Ho5 at its relaxed geometry, from the Alexandria database.

The volume comes out at 31.93 A^3/atom. The spin magnetization comes out at 0.00 μB per formula unit. For the calculated total energy, the calculation gives -88.9 eV for the cell shown.

The structure belongs to space group P-1 (No. 2); the cell edges are 6.479, 8.801 and 11.350 Å and the angles 71.37°, 89.53° and 81.86°. The distinct sites, in fractional coordinates, are Dy at (0.053, 0.346, 0.269), Dy at (0.055, 0.859, 0.927), Dy at (0.146, 0.246, 0.776), Dy at (0.315, 0.928, 0.316), Dy at (0.374, 0.632, 0.205), Dy at (0.427, 0.757, 0.726), Y at (0.185, 0.112, 0.543), Ho at (0.240, 0.544, 0.509), Ho at (0.268, 0.440, 0.990) and Ho at (0.500, 0.000, 0.000).

=====

Number 1: ΔE to the lowest computed polymorph 105 meV per atom. Number 2: ΔE to the lowest computed polymorph 211 meV per atom. Number 3: ΔE to the lowest computed polymorph 0 meV per atom. Number 4: ΔE to the lowest computed polymorph 0 meV per atom.